Entry 1:
## SmScCuTe3 (PBE)

Data for a relaxed structure of SmScCuTe3.

Cell and atoms, written as extended XYZ:
```
12
Lattice="2.0635 -7.0142 0.0000 2.0635 7.0142 0.0000 0.0000 0.0000 10.7183" Properties=species:S:1:pos:R:3 pbc="T T T"
Sm 2.0635 3.7881 8.0387
Sm 2.0635 -3.7881 2.6796
Sc 0.0000 0.0000 0.0000
Sc 0.0000 0.0000 5.3592
Cu 2.0635 0.4342 2.6796
Cu 2.0635 -0.4342 8.0387
Te 2.0635 5.7583 2.6796
Te 2.0635 2.0309 0.6066
Te 2.0635 2.0309 4.7526
Te 2.0635 -2.0309 5.9657
Te 2.0635 -2.0309 10.1118
Te 2.0635 -5.7583 8.0387
```

## Properties
- SG: No. 63
- Calculated total energy: -5.01 eV per atom

---

Entry 2:
## Sc2CuSn2 (PBE)

Data for a relaxed structure of Sc2CuSn2.

Cell and atoms, written as extended XYZ:
```
5
Lattice="-2.2450 2.2450 6.4025 2.2450 -2.2450 6.4025 2.2450 2.2450 -6.4025" Properties=species:S:1:pos:R:3 pbc="T T T"
Sc 2.2450 0.0000 3.2013
Sc 0.0000 2.2450 3.2013
Cu 0.0000 0.0000 0.0000
Sn 0.0000 0.0000 5.0592
Sn 0.0000 0.0000 7.7459
```

## Properties
- SG: No. 139
- Excess energy over the best structure of this formula in the dataset: 111 meV/atom
- Calculated total energy: -4.61 eV per atom

---

Entry 3:
## ScCuSn (PBE)

Data for a relaxed structure of ScCuSn.

Cell and atoms, written as extended XYZ:
```
6
Lattice="4.4038 0.0000 0.0000 -2.2019 3.8138 0.0000 0.0000 0.0000 6.8296" Properties=species:S:1:pos:R:3 pbc="T T T"
Sc 0.0000 0.0000 0.0000
Sc 0.0000 0.0000 3.4148
Cu 0.0000 2.5425 2.2198
Cu 2.2019 1.2713 5.6346
Sn 0.0000 2.5425 4.9856
Sn 2.2019 1.2713 1.5708
```

## Properties
- SG: No. 186
- Calculated total energy: -5.23 eV per atom

---

Entry 4:
## ScCu5Sn2 (PBE)

Data for a relaxed structure of ScCu5Sn2.

Cell and atoms, written as extended XYZ:
```
8
Lattice="4.3764 0.0000 0.0000 0.0000 4.3764 0.0000 0.0000 0.0000 6.5296" Properties=species:S:1:pos:R:3 pbc="T T T"
Sc 0.0000 0.0000 0.0000
Cu 0.0000 2.1882 1.7763
Cu 0.0000 2.1882 4.7533
Cu 2.1882 0.0000 1.7763
Cu 2.1882 0.0000 4.7533
Cu 2.1882 2.1882 3.2648
Sn 0.0000 0.0000 3.2648
Sn 2.1882 2.1882 0.0000
```

## Properties
- SG: No. 123
- Calculated total energy: -4.24 eV per atom

---

Entry 5:
## ScCu5Sn2 (PBE)

Data for a relaxed structure of ScCu5Sn2.

Cell and atoms, written as extended XYZ:
```
8
Lattice="4.3788 0.0000 0.0000 0.0000 4.3788 0.0000 0.0000 0.0000 6.5219" Properties=species:S:1:pos:R:3 pbc="T T T"
Sc 0.0000 0.0000 0.0000
Cu 0.0000 2.1894 1.7762
Cu 0.0000 2.1894 4.7457
Cu 2.1894 0.0000 1.7762
Cu 2.1894 0.0000 4.7457
Cu 2.1894 2.1894 3.2610
Sn 0.0000 0.0000 3.2610
Sn 2.1894 2.1894 0.0000
```

## Properties
- SG: No. 123
- Calculated total energy: -4.24 eV per atom

---

Entry 6:
## Sc2CuSn2 (PBE)

Data for a relaxed structure of Sc2CuSn2.

Cell and atoms, written as extended XYZ:
```
5
Lattice="-2.0398 2.0398 6.9376 2.0398 -2.0398 6.9376 2.0398 2.0398 -6.9376" Properties=species:S:1:pos:R:3 pbc="T T T"
Sc 0.0000 0.0000 1.3010
Sc 0.0000 0.0000 12.5741
Cu 0.0000 0.0000 6.9376
Sn 2.0398 0.0000 3.4688
Sn 0.0000 2.0398 3.4688
```

## Properties
- SG: No. 139
- Excess energy over the best structure of this formula in the dataset: 0 meV/atom
- Calculated total energy: -4.72 eV per atom

---

Entry 7:
## ScCuTcSn (PBE)

Data for a relaxed structure of ScCuTcSn.

Cell and atoms, written as extended XYZ:
```
4
Lattice="0.0000 3.2383 3.2383 3.2383 0.0000 3.2383 3.2383 3.2383 0.0000" Properties=species:S:1:pos:R:3 pbc="T T T"
Sc 0.0000 0.0000 0.0000
Cu 4.8575 4.8575 4.8575
Tc 1.6192 1.6192 1.6192
Sn 3.2383 3.2383 3.2383
```

## Properties
- SG: No. 216
- Excess energy over the best structure of this formula in the dataset: 0 meV/atom
- Calculated total energy: -6.24 eV per atom

---

Entry 8:
## TmScCu2Sn2 (PBE)

Data for a relaxed structure of TmScCu2Sn2.

Cell and atoms, written as extended XYZ:
```
6
Lattice="4.4627 0.0000 0.0000 -2.2313 3.8648 0.0000 0.0000 0.0000 6.9815" Properties=species:S:1:pos:R:3 pbc="T T T"
Tm 0.0000 0.0000 0.0000
Sc 0.0000 0.0000 3.4869
Cu 0.0000 2.5765 5.6996
Cu 2.2313 1.2883 2.2777
Sn 0.0000 2.5765 1.6630
Sn 2.2313 1.2883 5.0449
```

## Properties
- SG: No. 156
- Calculated total energy: -4.93 eV per atom

---

Entry 9:
## YScCu2Sn2 (PBE)

Data for a relaxed structure of YScCu2Sn2.

Cell and atoms, written as extended XYZ:
```
6
Lattice="4.4745 0.0000 0.0000 -2.2373 3.8750 0.0000 0.0000 0.0000 7.1065" Properties=species:S:1:pos:R:3 pbc="T T T"
Y 0.0000 0.0000 0.0000
Sc 0.0000 0.0000 3.5469
Cu 0.0000 2.5834 2.3710
Cu 2.2373 1.2917 5.7690
Sn 0.0000 2.5834 5.1109
Sn 2.2373 1.2917 1.7212
```

## Properties
- SG: No. 156
- Excess energy over the best structure of this formula in the dataset: 0 meV/atom
- Calculated total energy: -5.28 eV per atom

---

Entry 10:
## YScCu2Sn2 (PBE)

Data for a relaxed structure of YScCu2Sn2.

Cell and atoms, written as extended XYZ:
```
24
Lattice="8.9890 0.0000 0.0000 0.0000 4.4890 0.0000 -4.4737 0.0000 12.7035" Properties=species:S:1:pos:R:3 pbc="T T T"
Y 0.0000 0.0000 0.0000
Y -2.2297 2.2445 9.5095
Y 0.0114 0.0000 6.3409
Y 4.5045 0.0000 0.0207
Sc 2.2573 2.2445 3.1921
Sc 2.2728 2.2445 9.5199
Sc 4.5047 0.0000 6.3394
Sc 6.7503 2.2445 3.1773
Cu 0.0037 2.2445 1.6775
Cu -2.2239 0.0000 11.1149
Cu 0.0896 2.2445 7.9617
Cu 2.3094 0.0000 4.7317
Cu 4.5068 2.2445 1.6857
Cu 2.2757 0.0000 11.0477
Cu 4.4602 2.2445 7.8887
Cu 6.7038 0.0000 4.7266
Sn 0.0090 0.0000 3.1950
Sn 2.2519 2.2445 0.0627
Sn 0.0725 0.0000 9.5251
Sn 2.3121 2.2445 6.3193
Sn 4.5063 0.0000 3.2152
Sn 6.7487 2.2445 0.0031
Sn 4.4609 0.0000 9.4609
Sn 6.6960 2.2445 6.3033
```

## Properties
- SG: No. 6
- Excess energy over the best structure of this formula in the dataset: 12 meV/atom
- Calculated total energy: -5.27 eV per atom

---

Entry 11:
## ZrScCuSn (PBE)

Data for a relaxed structure of ZrScCuSn.

Cell and atoms, written as extended XYZ:
```
4
Lattice="0.0000 3.4365 3.4365 3.4365 0.0000 3.4365 3.4365 3.4365 0.0000" Properties=species:S:1:pos:R:3 pbc="T T T"
Zr 0.0000 0.0000 0.0000
Sc 5.1548 5.1548 5.1548
Cu 3.4365 3.4365 3.4365
Sn 1.7183 1.7183 1.7183
```

## Properties
- SG: No. 216
- Excess energy over the best structure of this formula in the dataset: 0 meV/atom
- Calculated total energy: -5.58 eV per atom

---

Entry 12:
## SrSc2Cu (PBE)

Data for a relaxed structure of SrSc2Cu.

Cell and atoms, written as extended XYZ:
```
4
Lattice="0.0000 3.6870 3.6870 3.6870 0.0000 3.6870 3.6870 3.6870 0.0000" Properties=species:S:1:pos:R:3 pbc="T T T"
Sr 0.0000 0.0000 0.0000
Sc 3.6870 3.6870 3.6870
Sc 5.5304 5.5304 5.5304
Cu 1.8435 1.8435 1.8435
```

## Properties
- SG: No. 216
- Calculated total energy: -4.12 eV per atom